(1)
K2RbO | PBE | relaxed

## Properties
Calculated density in g/cm3: 1.7
Calculated volume in Å³/cell: 345.46
Calculated total energy in eV/atom: -2.763
N(E_F) in states/eV/cell: 2.776
Energy relative to the elements, uncorrected in eV per atom: -0.733

The structure in POSCAR format:
```
K2RbO
1.0
3.937 0.000 0.000
-0.870 7.941 0.000
-1.042 -2.480 11.050
K Rb O
4 2 2
direct
0.000 0.000 0.000 K
0.088 0.076 0.284 K
0.395 0.658 0.886 K
0.793 0.540 0.595 K
0.415 0.973 0.697 Rb
0.972 0.656 0.182 Rb
0.511 0.890 0.138 O
0.896 0.787 0.780 O
```

=====

(2)
K2RbO6 | PBE | relaxed

## Properties
Calculated density in g/cm3: 2.7
Calculated volume in Å³/cell: 160.24
Calculated total energy in eV/atom: -4.469
N(E_F) in states/eV/cell: 7.243
Energy relative to the elements, uncorrected in eV per atom: -0.812

The structure in POSCAR format:
```
K2RbO6
1.0
-1.823 3.019 7.278
1.823 -3.019 7.278
1.823 3.019 -7.278
K Rb O
2 1 6
direct
0.149 0.149 0.000 K
0.851 0.851 0.000 K
0.500 0.000 0.500 Rb
0.114 0.500 0.614 O
0.223 0.334 0.888 O
0.446 0.334 0.112 O
0.554 0.666 0.888 O
0.777 0.666 0.112 O
0.886 0.500 0.386 O
```

=====

(3)
K2Rb5O4 | PBE | relaxed

## Properties
Calculated density in g/cm3: 2.8
Calculated volume in Å³/cell: 343.13
Calculated total energy in eV/atom: -3.348
N(E_F) in states/eV/cell: 16.587
Energy relative to the elements, uncorrected in eV per atom: -0.905

The structure in POSCAR format:
```
K2Rb5O4
1.0
8.173 -2.151 0.000
8.173 2.151 0.000
-2.930 0.000 9.758
K Rb O
2 5 4
direct
0.002 0.002 0.350 K
0.998 0.998 0.650 K
0.000 0.000 0.000 Rb
0.332 0.332 0.603 Rb
0.335 0.335 0.244 Rb
0.665 0.665 0.756 Rb
0.668 0.668 0.397 Rb
0.150 0.150 0.577 O
0.499 0.499 0.202 O
0.501 0.501 0.798 O
0.850 0.850 0.423 O
```

=====

(4)
K3Rb6O | PBE | relaxed

## Properties
E above lowest polymorph in kJ/mol of formula units: 0
Calculated density in g/cm3: 1.5
Calculated volume in Å³/cell: 1421.60
Calculated total energy in eV/atom: -1.671
N(E_F) in states/eV/cell: 12.464
Energy relative to the elements, uncorrected in eV per atom: -0.265

The structure in POSCAR format:
```
K3Rb6O
1.0
4.683 -12.151 0.000
4.683 12.151 0.000
0.000 0.000 12.492
K Rb O
6 12 2
direct
0.037 0.963 0.500 K
0.145 0.364 0.701 K
0.364 0.145 0.201 K
0.636 0.855 0.701 K
0.855 0.636 0.201 K
0.963 0.037 0.000 K
0.090 0.490 0.079 Rb
0.190 0.373 0.317 Rb
0.270 0.730 0.345 Rb
0.373 0.190 0.817 Rb
0.443 0.557 0.050 Rb
0.490 0.090 0.579 Rb
0.510 0.910 0.079 Rb
0.557 0.443 0.550 Rb
0.627 0.810 0.317 Rb
0.730 0.270 0.845 Rb
0.810 0.627 0.817 Rb
0.910 0.510 0.579 Rb
0.354 0.646 0.198 O
0.646 0.354 0.698 O
```

=====

(5)
KRb5O | PBE | relaxed

## Properties
Calculated density in g/cm3: 1.8
Calculated volume in Å³/cell: 903.10
Calculated total energy in eV/atom: -1.950
N(E_F) in states/eV/cell: 6.359
Energy relative to the elements, uncorrected in eV per atom: -0.394

The structure in POSCAR format:
```
KRb5O
1.0
7.728 -5.255 0.000
7.728 5.255 0.000
-4.718 0.000 11.118
K Rb O
2 10 2
direct
0.001 0.999 0.750 K
0.999 0.001 0.250 K
0.178 0.556 0.936 Rb
0.179 0.542 0.428 Rb
0.444 0.822 0.564 Rb
0.458 0.821 0.072 Rb
0.495 0.505 0.750 Rb
0.505 0.495 0.250 Rb
0.542 0.179 0.928 Rb
0.556 0.178 0.436 Rb
0.821 0.458 0.572 Rb
0.822 0.444 0.064 Rb
0.500 0.500 0.000 O
0.500 0.500 0.500 O
```

=====

(6)
K8Rb6O | PBE | relaxed

## Properties
Calculated density in g/cm3: 1.3
Calculated volume in Å³/cell: 1071.70
Calculated total energy in eV/atom: -1.498
N(E_F) in states/eV/cell: 10.468
Energy relative to the elements, uncorrected in eV per atom: -0.195

The structure in POSCAR format:
```
K8Rb6O
1.0
6.299 3.637 7.796
-6.299 3.637 7.796
0.000 -7.274 7.796
K Rb O
8 6 1
direct
0.240 0.477 0.582 K
0.249 0.249 0.249 K
0.418 0.760 0.523 K
0.477 0.582 0.240 K
0.523 0.418 0.760 K
0.582 0.240 0.477 K
0.751 0.751 0.751 K
0.760 0.523 0.418 K
0.016 0.892 0.332 Rb
0.108 0.668 0.984 Rb
0.332 0.016 0.892 Rb
0.668 0.984 0.108 Rb
0.892 0.332 0.016 Rb
0.984 0.108 0.668 Rb
0.500 0.500 0.500 O
```

=====

(7)
KRb2O | PBE | relaxed

## Properties
Calculated density in g/cm3: 2.1
Calculated volume in Å³/cell: 181.54
Calculated total energy in eV/atom: -2.700
N(E_F) in states/eV/cell: 1.459
Energy relative to the elements, uncorrected in eV per atom: -0.702

The structure in POSCAR format:
```
KRb2O
1.0
4.128 0.000 0.000
0.000 2.895 7.595
0.000 -2.895 7.595
K Rb O
1 2 1
direct
0.000 0.000 0.000 K
0.000 0.235 0.235 Rb
0.500 0.607 0.607 Rb
0.500 0.111 0.111 O
```

=====

(8)
K3Rb4O | PBE | relaxed

## Properties
E above lowest polymorph in kJ/mol of formula units: 16
Calculated density in g/cm3: 1.3
Calculated volume in Å³/cell: 1212.29
Calculated total energy in eV/atom: -1.839
N(E_F) in states/eV/cell: 9.604
Energy relative to the elements, uncorrected in eV per atom: -0.324

The structure in POSCAR format:
```
K3Rb4O
1.0
12.276 0.000 0.000
0.000 12.480 0.000
0.000 0.000 7.913
K Rb O
6 8 2
direct
0.000 0.107 0.000 K
0.193 0.086 0.498 K
0.307 0.914 0.998 K
0.500 0.893 0.500 K
0.693 0.914 0.998 K
0.807 0.086 0.498 K
0.000 0.407 0.509 Rb
0.000 0.621 0.919 Rb
0.172 0.697 0.489 Rb
0.328 0.303 0.989 Rb
0.500 0.379 0.419 Rb
0.500 0.593 0.009 Rb
0.672 0.303 0.989 Rb
0.828 0.697 0.489 Rb
0.000 0.604 0.598 O
0.500 0.396 0.098 O
```

=====

Among the records above, which one has the lowest energy relative to the elements, uncorrected? K2Rb5O4

=====

Which formula does entry 4 have? K3Rb6O

=====

Copy entry 3 word for word.
K2Rb5O4 | PBE | relaxed

## Properties
Calculated density in g/cm3: 2.8
Calculated volume in Å³/cell: 343.13
Calculated total energy in eV/atom: -3.348
N(E_F) in states/eV/cell: 16.587
Energy relative to the elements, uncorrected in eV per atom: -0.905

The structure in POSCAR format:
```
K2Rb5O4
1.0
8.173 -2.151 0.000
8.173 2.151 0.000
-2.930 0.000 9.758
K Rb O
2 5 4
direct
0.002 0.002 0.350 K
0.998 0.998 0.650 K
0.000 0.000 0.000 Rb
0.332 0.332 0.603 Rb
0.335 0.335 0.244 Rb
0.665 0.665 0.756 Rb
0.668 0.668 0.397 Rb
0.150 0.150 0.577 O
0.499 0.499 0.202 O
0.501 0.501 0.798 O
0.850 0.850 0.423 O
```